No. 1
This record from Alexandria via LeMat-Bulk describes crystalline EuBeC at its relaxed geometry. The functional is PBE.

Geometry as extended XYZ:
```
3
Lattice="3.357 0.000 0.000 -1.678 2.907 0.000 0.000 0.000 4.056" Properties=species:S:1:pos:R:3 pbc="T T T"
Eu 0.000 0.000 0.000
Be 1.678 0.969 2.028
C 0.000 1.938 2.028
```

Values from the calculation:
- Space-group type: P-6m2
- DOS(E_F): 1.94 states/eV per cell
- Calculated formation energy: 0.097 eV per atom

---

No. 2
This record from Alexandria via LeMat-Bulk describes crystalline BeC2F at its relaxed geometry. The functional is PBE.

Geometry as extended XYZ:
```
16
Lattice="4.152 0.000 0.000 0.000 4.152 0.000 0.000 0.000 9.370" Properties=species:S:1:pos:R:3 pbc="T T T"
Be 0.000 0.000 0.000
Be 0.000 2.076 2.342
Be 2.076 0.000 7.027
Be 2.076 2.076 4.685
C 0.656 1.038 1.171
C 1.038 2.732 3.514
C 1.038 3.497 8.199
C 1.420 1.038 5.856
C 2.732 3.114 5.856
C 3.114 0.656 8.199
C 3.114 1.420 3.514
C 3.497 3.114 1.171
F 0.000 0.000 4.685
F 0.000 2.076 7.027
F 2.076 0.000 2.342
F 2.076 2.076 0.000
```

Values from the calculation:
- Space-group type: I-42d
- DOS(E_F): 9.21 states/eV per cell
- E_form (uncorrected): 1.676 eV per atom
- Energy relative to the lowest polymorph listed for this composition: 0.0 kJ/mol of formula units

---

No. 3
This record from Alexandria via LeMat-Bulk describes crystalline BeCF2 at its relaxed geometry. The functional is PBE.

Geometry as extended XYZ:
```
16
Lattice="5.274 0.000 0.000 0.000 5.274 0.000 0.000 0.000 5.274" Properties=species:S:1:pos:R:3 pbc="T T T"
Be 0.000 0.000 0.000
Be 0.000 2.637 2.637
Be 2.637 0.000 2.637
Be 2.637 2.637 0.000
C 0.000 0.000 2.637
C 0.000 2.637 0.000
C 2.637 0.000 0.000
C 2.637 2.637 2.637
F 1.319 1.319 1.319
F 1.319 1.319 3.956
F 1.319 3.956 1.319
F 1.319 3.956 3.956
F 3.956 1.319 1.319
F 3.956 1.319 3.956
F 3.956 3.956 1.319
F 3.956 3.956 3.956
```

Values from the calculation:
- Space-group type: Fm-3m
- DOS(E_F): 6.89 states/eV per cell
- E_form (uncorrected): 0.786 eV per atom
- Energy relative to the lowest polymorph listed for this composition: 592.4 kJ/mol of formula units

---

No. 4
This record from Alexandria via LeMat-Bulk describes crystalline Be2CF at its relaxed geometry. The functional is PBE.

Geometry as extended XYZ:
```
16
Lattice="4.973 0.000 0.000 0.000 4.973 0.000 0.000 0.000 4.973" Properties=species:S:1:pos:R:3 pbc="T T T"
Be 1.243 1.243 1.243
Be 1.243 1.243 3.730
Be 1.243 3.730 1.243
Be 1.243 3.730 3.730
Be 3.730 1.243 1.243
Be 3.730 1.243 3.730
Be 3.730 3.730 1.243
Be 3.730 3.730 3.730
C 0.000 0.000 0.000
C 0.000 2.487 2.487
C 2.487 0.000 2.487
C 2.487 2.487 0.000
F 0.000 0.000 2.487
F 0.000 2.487 0.000
F 2.487 0.000 0.000
F 2.487 2.487 2.487
```

Values from the calculation:
- Space-group type: Fm-3m
- DOS(E_F): 22.32 states/eV per cell
- E_form (uncorrected): 0.421 eV per atom
- Energy relative to the lowest polymorph listed for this composition: 350.3 kJ/mol of formula units

---

No. 5
This record from Alexandria via LeMat-Bulk describes crystalline Be3CF at its relaxed geometry. The functional is PBE.

Geometry as extended XYZ:
```
5
Lattice="3.483 0.000 0.000 0.000 3.483 0.000 0.000 0.000 3.483" Properties=species:S:1:pos:R:3 pbc="T T T"
Be 0.000 0.000 1.741
Be 0.000 1.741 0.000
Be 1.741 0.000 0.000
C 0.000 0.000 0.000
F 1.741 1.741 1.741
```

Values from the calculation:
- Space-group type: Pm-3m
- DOS(E_F): 0.58 states/eV per cell
- E_form (uncorrected): -0.364 eV per atom
- Energy relative to the lowest polymorph listed for this composition: 0.0 kJ/mol of formula units

---

No. 6
This record from Alexandria via LeMat-Bulk describes crystalline BeCF2 at its relaxed geometry. The functional is PBE.

Geometry as extended XYZ:
```
12
Lattice="2.656 0.000 0.000 -1.328 2.300 0.000 0.000 0.000 28.121" Properties=species:S:1:pos:R:3 pbc="T T T"
Be 0.000 0.000 0.000
Be 0.000 1.534 18.747
Be 1.328 0.767 9.374
C 0.000 0.000 14.061
C 0.000 1.534 4.687
C 1.328 0.767 23.434
F 0.000 0.000 1.367
F 0.000 0.000 26.754
F 0.000 1.534 17.380
F 0.000 1.534 20.114
F 1.328 0.767 8.007
F 1.328 0.767 10.741
```

Values from the calculation:
- Space-group type: R-3m
- DOS(E_F): 1.80 states/eV per cell
- E_form (uncorrected): -0.059 eV per atom
- Energy relative to the lowest polymorph listed for this composition: 266.5 kJ/mol of formula units